# Ta2CuSb, PBEsol geometry, DFT meta-GGA SCAN
data_Ta2CuSb
_chemical_formula_sum 'Ta2 Cu1 Sb1'
_space_group_name_H-M_alt 'P 1'
_space_group_IT_number 1
_space_group_name_Hall 'P 1'
_cell_length_a 3.740
_cell_length_b 4.154
_cell_length_c 4.344
_cell_angle_alpha 90.00
_cell_angle_beta 90.00
_cell_angle_gamma 90.00
loop_
_atom_site_label
_atom_site_type_symbol
_atom_site_fract_x
_atom_site_fract_y
_atom_site_fract_z
_atom_site_occupancy
Ta1 Ta 0.000 0.000 0.000 1
Sb1 Sb 0.000 0.500 0.500 1
Cu1 Cu 0.500 0.000 0.500 1
Ta2 Ta 0.500 0.500 0.000 1
# * DOS(E_F): 1.898 states/eV per cell
# * formation energy without anion corrections: 8 kJ/mol of atoms
# * crystal system: orthorhombic
# * total DFT energy (no corrections): -46.32 eV per atom